A plane-wave DFT calculation with PBE-GGA was carried out for a relaxed structure of TmPuMgHg.

Cell lengths 5.284, 5.284, 5.284 Å; angles 60.00, 60.00, 60.00 degrees
Atoms (fractional coordinates):
Tm: 0.000 0.000 0.000
Pu: 0.500 0.500 0.500
Mg: 0.250 0.250 0.250
Hg: 0.750 0.750 0.750

Values from the calculation:
Space-group type: F-43m
Final energy: -5.23 eV per atom
M_tot: 1.537 μB/atom
Crystal system: cubic
V: 26.07 Å³/atom

=====

A plane-wave DFT calculation with PBE-GGA was carried out for a relaxed structure of Mn2TlPb.

Cell lengths 5.059, 5.059, 5.059 Å; angles 60.00, 60.00, 60.00 degrees
Atoms (fractional coordinates):
Mn: 0.000 0.000 0.000
Mn: 0.250 0.250 0.250
Tl: 0.750 0.750 0.750
Pb: 0.500 0.500 0.500

Values from the calculation:
Space-group type: F-43m
Final energy: -5.37 eV per atom
M_tot: 2.007 μB/atom
Crystal system: cubic
V: 22.89 Å³/atom